This record from Alexandria via LeMat-Bulk describes a geometry-optimized CsC3Br structure. The functional is PBE.

Cell lengths 5.6101, 5.6101, 5.6101 Å; angles 90.00, 90.00, 90.00 degrees
Last column: nearest neighbours and their distance in Å.
Atoms (fractional coordinates):
Cs (0.0000, 0.0000, 0.0000)  6 C 2.81
C (0.0000, 0.0000, 0.5000)  2 Cs 2.81
C (0.0000, 0.5000, 0.0000)  2 Cs 2.81
C (0.5000, 0.0000, 0.0000)  2 Cs 2.81
Br (0.5000, 0.5000, 0.5000)  12 C 3.97

Output
The calculation puts the energy above the most stable polymorph in this dataset at 3.81 eV per formula unit. The value obtained for the energy relative to the elements, uncorrected is 4061 meV per atom. Its volume is 177 Å³/cell. The calculation puts the total energy at -9.89 eV per cell.

This record from Alexandria via LeMat-Bulk describes a geometry-optimized YP2PtCl structure. The functional is PBE.

Cell lengths 5.3457, 5.3457, 4.9564 Å; angles 90.00, 90.00, 90.00 degrees
Last column: nearest neighbours and their distance in Å.
Atoms (fractional coordinates):
Y (0.0000, 0.0000, 0.0000)  2 Cl 2.48, 4 P 2.67
P (0.0000, 0.5000, 0.0000)  2 Y 2.67
P (0.5000, 0.0000, 0.0000)  2 Y 2.67
Pt (0.5000, 0.5000, 0.5000)  8 P 3.64, 4 Cl 3.78
Cl (0.0000, 0.0000, 0.5000)  2 Y 2.48

Output
The calculation puts the energy above the most stable polymorph in this dataset at 4.06 eV per formula unit. The value obtained for the energy relative to the elements, uncorrected is 613 meV per atom. Its volume is 142 Å³/cell. The calculation puts the total energy at -22.11 eV per cell.

This record from Alexandria via LeMat-Bulk describes a geometry-optimized SrCaZnNi structure. The functional is PBE.

Cell lengths 7.3306, 4.2331, 7.9345 Å; angles 90.00, 107.88, 90.00 degrees
Last column: nearest neighbours and their distance in Å.
Atoms (fractional coordinates):
Sr (0.0000, 0.0000, 0.0000)  3 Ni 3.22, 3 Zn 3.23
Sr (0.5000, 0.5000, 0.0000)  3 Ni 3.22, 3 Zn 3.23
Ca (0.3257, 0.5000, 0.4758)  3 Zn 3.06, 3 Ni 3.07
Ca (0.8257, 0.0000, 0.4758)  3 Zn 3.06, 3 Ni 3.07
Zn (0.2402, 0.0000, 0.7201)  3 Ni 2.44
Zn (0.7402, 0.5000, 0.7201)  3 Ni 2.44
Ni (0.0741, 0.5000, 0.7216)  3 Zn 2.44
Ni (0.5741, 0.0000, 0.7216)  3 Zn 2.44

Output
The calculation puts the energy above the most stable polymorph in this dataset at 0.00 eV per formula unit. The calculation puts the formation energy from the elements at -0.19 eV per atom. Its volume is 234 Å³/cell. The calculation puts the total energy at -23.02 eV per cell.

This record from Alexandria via LeMat-Bulk describes a geometry-optimized Ho7Sn2Ir2 structure. The functional is PBE.

Cell lengths 6.7858, 6.7858, 7.0756 Å; angles 90.00, 90.00, 105.04 degrees
Last column: nearest neighbours and their distance in Å.
Atoms (fractional coordinates):
Ho (0.0000, 0.0000, 0.0000)  2 Ir 3.06
Ho (0.0000, 0.5000, 0.2464)  2 Ir 2.73
Ho (0.0000, 0.5000, 0.7536)  2 Ir 2.73
Ho (0.5000, 0.0000, 0.2464)  2 Ir 2.73
Ho (0.5000, 0.0000, 0.7536)  2 Ir 2.73
Ho (0.5000, 0.5000, 0.2356)  2 Ir 2.86
Ho (0.5000, 0.5000, 0.7644)  2 Ir 2.86
Sn (0.1826, 0.1826, 0.5000)  1 Sn 3.02, 6 Ho 3.22-3.28
Sn (0.8174, 0.8174, 0.5000)  1 Sn 3.02, 6 Ho 3.22-3.28
Ir (0.2842, 0.7158, 0.0000)  6 Ho 2.73-2.86
Ir (0.7158, 0.2842, 0.0000)  6 Ho 2.73-2.86

Output
The calculation puts the formation energy from the elements at -0.56 eV per atom. Its volume is 315 Å³/cell. The calculation puts the total energy at -63.96 eV per cell.

This record from Alexandria via LeMat-Bulk describes a geometry-optimized Li2TcHRh structure. The functional is PBE.

Cell lengths 4.7617, 4.7617, 4.6176 Å; angles 90.00, 90.00, 90.00 degrees
Last column: nearest neighbours and their distance in Å.
Atoms (fractional coordinates):
Li (0.0000, 0.5000, 0.0000)  2 Rh 2.38
Li (0.5000, 0.0000, 0.0000)  2 Rh 2.38
Tc (0.0000, 0.0000, 0.5000)  2 Rh 2.31
H (0.5000, 0.5000, 0.5000)  8 Li 3.32, 4 Tc 3.37
Rh (0.0000, 0.0000, 0.0000)  2 Tc 2.31, 4 Li 2.38

Output
The calculation puts the energy above the most stable polymorph in this dataset at 5.22 eV per formula unit. Its volume is 105 Å³/cell. The calculation puts the total energy at -19.28 eV per cell.

This record from Alexandria via LeMat-Bulk describes a geometry-optimized BaVB2 structure. The functional is PBE.

Cell lengths 5.1310, 5.1310, 12.9420 Å; angles 90.00, 90.00, 90.00 degrees
Last column: nearest neighbours and their distance in Å.
Atoms (fractional coordinates):
Ba (0.0000, 0.0000, 0.0000)  8 B 3.21-3.38
Ba (0.0000, 0.5000, 0.2500)  8 B 3.21-3.38
Ba (0.5000, 0.0000, 0.7500)  8 B 3.21-3.38
Ba (0.5000, 0.5000, 0.5000)  8 B 3.21-3.38
V (0.0000, 0.0000, 0.5000)  4 B 2.07
V (0.0000, 0.5000, 0.7500)  4 B 2.07
V (0.5000, 0.0000, 0.2500)  4 B 2.07
V (0.5000, 0.5000, 0.0000)  4 B 2.07
B (0.0220, 0.2500, 0.6250)  2 V 2.07
B (0.2500, 0.5220, 0.8750)  2 V 2.07
B (0.2500, 0.9780, 0.3750)  2 V 2.07
B (0.4780, 0.2500, 0.1250)  2 V 2.07
B (0.5220, 0.7500, 0.1250)  2 V 2.07
B (0.7500, 0.0220, 0.3750)  2 V 2.07
B (0.7500, 0.4780, 0.8750)  2 V 2.07
B (0.9780, 0.7500, 0.6250)  2 V 2.07

Output
The calculation puts the energy above the most stable polymorph in this dataset at 0.00 eV per formula unit. The calculation puts the formation energy from the elements at 0.72 eV per atom. Its volume is 341 Å³/cell. The calculation puts the total energy at -86.03 eV per cell.

- What is the formula in the fifth record?
  Li2TcHRh